[1]
This record from OQMD describes an optimized crystal structure of ScTlZn2. The functional is GGA-PBE.

Values from the calculation:
calculated total energy = -0.1050 hartree per atom
SG = No. 216

Cell: 6.767 6.767 6.767 Å, 90.00 90.00 90.00°
Atoms (fractional coordinates):
1 Sc 0.000 0.000 0.000
2 Sc 0.000 0.500 0.500
3 Sc 0.500 0.000 0.500
4 Sc 0.500 0.500 0.000
5 Tl 0.250 0.250 0.750
6 Tl 0.250 0.750 0.250
7 Tl 0.750 0.250 0.250
8 Tl 0.750 0.750 0.750
9 Zn 0.000 0.000 0.500
10 Zn 0.000 0.500 0.000
11 Zn 0.250 0.250 0.250
12 Zn 0.250 0.750 0.750
13 Zn 0.500 0.000 0.000
14 Zn 0.500 0.500 0.500
15 Zn 0.750 0.250 0.750
16 Zn 0.750 0.750 0.250

[2]
This record from OQMD describes an optimized crystal structure of Hf2ZrAs2. The functional is GGA-PBE.

Values from the calculation:
calculated total energy = -0.2944 hartree per atom
SG = No. 139

Cell: 4.060 4.060 12.230 Å, 90.00 90.00 90.00°
Atoms (fractional coordinates):
1 Hf 0.000 0.500 0.250
2 Hf 0.000 0.500 0.750
3 Hf 0.500 0.000 0.250
4 Hf 0.500 0.000 0.750
5 Zr 0.000 0.000 0.000
6 Zr 0.500 0.500 0.500
7 As 0.000 0.000 0.396
8 As 0.000 0.000 0.604
9 As 0.500 0.500 0.104
10 As 0.500 0.500 0.896

[3]
This record from OQMD describes an optimized crystal structure of KLi4CdPd2. The functional is GGA-PBE.

Values from the calculation:
calculated total energy = -0.0976 hartree per atom
SG = No. 115

Cell: 4.693 4.693 6.734 Å, 90.00 90.00 90.00°
Atoms (fractional coordinates):
1 K 0.000 0.000 0.000
2 Li 0.000 0.000 0.500
3 Li 0.000 0.500 0.702
4 Li 0.500 0.000 0.298
5 Li 0.500 0.500 0.000
6 Cd 0.500 0.500 0.500
7 Pd 0.000 0.500 0.289
8 Pd 0.500 0.000 0.711

[4]
This record from OQMD describes an optimized crystal structure of PaZnIn. The functional is GGA-PBE.

Values from the calculation:
calculated total energy = -0.1590 hartree per atom
SG = No. 216

Cell: 6.637 6.637 6.637 Å, 90.00 90.00 90.00°
Atoms (fractional coordinates):
1 Pa 0.000 0.000 0.000
2 Pa 0.000 0.500 0.500
3 Pa 0.500 0.000 0.500
4 Pa 0.500 0.500 0.000
5 Zn 0.250 0.250 0.750
6 Zn 0.250 0.750 0.250
7 Zn 0.750 0.250 0.250
8 Zn 0.750 0.750 0.750
9 In 0.000 0.000 0.500
10 In 0.000 0.500 0.000
11 In 0.500 0.000 0.000
12 In 0.500 0.500 0.500

[5]
This record from OQMD describes an optimized crystal structure of HoCuSb. The functional is GGA-PBE.

Values from the calculation:
calculated total energy = -0.1591 hartree per atom
SG = No. 216

Cell: 6.838 6.838 6.838 Å, 90.00 90.00 90.00°
Atoms (fractional coordinates):
1 Ho 0.000 0.000 0.000
2 Ho 0.000 0.500 0.500
3 Ho 0.500 0.000 0.500
4 Ho 0.500 0.500 0.000
5 Cu 0.250 0.250 0.750
6 Cu 0.250 0.750 0.250
7 Cu 0.750 0.250 0.250
8 Cu 0.750 0.750 0.750
9 Sb 0.250 0.250 0.250
10 Sb 0.250 0.750 0.750
11 Sb 0.750 0.250 0.750
12 Sb 0.750 0.750 0.250

[6]
This record from OQMD describes an optimized crystal structure of KLuFe. The functional is GGA-PBE.

Values from the calculation:
calculated total energy = -0.1286 hartree per atom
SG = No. 216

Cell: 7.117 7.117 7.117 Å, 90.00 90.00 90.00°
Atoms (fractional coordinates):
1 K 0.000 0.000 0.000
2 K 0.000 0.500 0.500
3 K 0.500 0.000 0.500
4 K 0.500 0.500 0.000
5 Lu 0.000 0.000 0.500
6 Lu 0.000 0.500 0.000
7 Lu 0.500 0.000 0.000
8 Lu 0.500 0.500 0.500
9 Fe 0.250 0.250 0.250
10 Fe 0.250 0.750 0.750
11 Fe 0.750 0.250 0.750
12 Fe 0.750 0.750 0.250

[7]
This record from OQMD describes an optimized crystal structure of PmCuPb. The functional is GGA-PBE.

Values from the calculation:
calculated total energy = -0.1411 hartree per atom
SG = No. 216

Cell: 7.033 7.033 7.033 Å, 90.00 90.00 90.00°
Atoms (fractional coordinates):
1 Pm 0.000 0.000 0.000
2 Pm 0.000 0.500 0.500
3 Pm 0.500 0.000 0.500
4 Pm 0.500 0.500 0.000
5 Cu 0.250 0.250 0.750
6 Cu 0.250 0.750 0.250
7 Cu 0.750 0.250 0.250
8 Cu 0.750 0.750 0.750
9 Pb 0.250 0.250 0.250
10 Pb 0.250 0.750 0.750
11 Pb 0.750 0.250 0.750
12 Pb 0.750 0.750 0.250

[8]
This record from OQMD describes an optimized crystal structure of PrTaHg. The functional is GGA-PBE.

Values from the calculation:
energy of formation = 801 meV/atom
SG = No. 216

Cell: 6.945 6.945 6.945 Å, 90.00 90.00 90.00°
Atoms (fractional coordinates):
1 Pr 0.000 0.000 0.000
2 Pr 0.000 0.500 0.500
3 Pr 0.500 0.000 0.500
4 Pr 0.500 0.500 0.000
5 Ta 0.000 0.000 0.500
6 Ta 0.000 0.500 0.000
7 Ta 0.500 0.000 0.000
8 Ta 0.500 0.500 0.500
9 Hg 0.250 0.250 0.250
10 Hg 0.250 0.750 0.750
11 Hg 0.750 0.250 0.750
12 Hg 0.750 0.750 0.250

Summary of calculated volume in A^3/atom
19.37 20.16 18.54 24.36 26.64 30.04 28.99 27.92
(order as listed above)